Below is a relaxed K2SmThTe4 crystal, with properties calculated at the GGA-PBE level.

CIF file:
```
data_K2SmThTe4
_space_group_name_H-M_alt 'P 1'
_space_group_IT_number 1
_space_group_name_Hall 'P 1'
_cell_length_a 4.516
_cell_length_b 7.835
_cell_length_c 8.756
_cell_angle_alpha 107.22
_cell_angle_beta 90.00
_cell_angle_gamma 90.00
loop_
_atom_site_label
_atom_site_fract_x
_atom_site_fract_y
_atom_site_fract_z
Th1 0.000 0.000 0.000
Te1 0.000 0.261 0.784
Te2 0.500 0.239 0.218
Te3 0.500 0.761 0.782
Te4 0.000 0.739 0.216
Sm1 0.500 0.500 0.000
K1 0.500 0.000 0.500
K2 0.000 0.500 0.500
```

formation energy (no corrections) = -1291 meV/atom

=====

Below is a relaxed Li3ZnIr crystal, with properties calculated at the GGA-PBE level.

CIF file:
```
data_Li3ZnIr
_space_group_name_H-M_alt 'P 1'
_space_group_IT_number 1
_space_group_name_Hall 'P 1'
_cell_length_a 4.686
_cell_length_b 4.686
_cell_length_c 4.686
_cell_angle_alpha 90.00
_cell_angle_beta 90.00
_cell_angle_gamma 90.00
loop_
_atom_site_label
_atom_site_fract_x
_atom_site_fract_y
_atom_site_fract_z
Ir1 0.000 0.000 0.000
Li1 0.000 0.500 0.000
Li2 0.000 0.000 0.500
Zn1 0.500 0.500 0.500
Li3 0.500 0.000 0.000
```

energy above the lowest structure with this stoichiometry = 2.88 eV per formula unit
energy of formation = 438 meV per atom

=====

Below is a relaxed Ti2IrCl crystal, with properties calculated at the GGA-PBE level.

CIF file:
```
data_Ti2IrCl
_space_group_name_H-M_alt 'P 1'
_space_group_IT_number 1
_space_group_name_Hall 'P 1'
_cell_length_a 6.503
_cell_length_b 6.503
_cell_length_c 5.686
_cell_angle_alpha 55.12
_cell_angle_beta 55.12
_cell_angle_gamma 90.00
loop_
_atom_site_label
_atom_site_fract_x
_atom_site_fract_y
_atom_site_fract_z
Ti1 0.136 0.625 0.250
Ir1 0.000 0.000 0.000
Ti2 0.614 0.125 0.250
Ti3 0.875 0.864 0.750
Cl1 0.250 0.750 0.500
Ir2 0.750 0.250 0.500
Cl2 0.500 0.500 0.000
Ti4 0.375 0.386 0.750
```

energy above the lowest structure with this stoichiometry = 0.00 eV per formula unit
formation energy (no corrections) = -252 meV/atom

=====

Below is a relaxed TcPRh2 crystal, with properties calculated at the GGA-PBE level.

CIF file:
```
data_TcPRh2
_space_group_name_H-M_alt 'P 1'
_space_group_IT_number 1
_space_group_name_Hall 'P 1'
_cell_length_a 4.635
_cell_length_b 4.635
_cell_length_c 2.765
_cell_angle_alpha 90.00
_cell_angle_beta 90.00
_cell_angle_gamma 111.03
loop_
_atom_site_label
_atom_site_fract_x
_atom_site_fract_y
_atom_site_fract_z
Tc1 0.000 0.000 0.500
P1 0.500 0.500 0.500
Rh1 0.500 0.000 0.000
Rh2 0.000 0.500 0.000
```

energy of formation = -4 meV per atom

=====

Below is a relaxed Cd4HgBi3 crystal, with properties calculated at the GGA-PBE level.

CIF file:
```
data_Cd4HgBi3
_space_group_name_H-M_alt 'P 1'
_space_group_IT_number 1
_space_group_name_Hall 'P 1'
_cell_length_a 7.394
_cell_length_b 7.394
_cell_length_c 7.394
_cell_angle_alpha 72.44
_cell_angle_beta 131.78
_cell_angle_gamma 129.46
loop_
_atom_site_label
_atom_site_fract_x
_atom_site_fract_y
_atom_site_fract_z
Bi1 0.701 0.722 0.424
Cd1 0.452 0.239 0.213
Cd2 0.974 0.761 0.213
Bi2 0.701 0.278 0.979
Hg1 0.210 0.500 0.710
Cd3 0.201 0.764 0.965
Cd4 0.201 0.236 0.437
Bi3 0.710 0.000 0.710
```

energy above the lowest structure with this stoichiometry = 0.00 eV per formula unit
energy of formation = 39 meV per atom

=====

Below is a relaxed Nb2ZnPt2 crystal, with properties calculated at the GGA-PBE level.

CIF file:
```
data_Nb2ZnPt2
_space_group_name_H-M_alt 'P 1'
_space_group_IT_number 1
_space_group_name_Hall 'P 1'
_cell_length_a 7.930
_cell_length_b 7.930
_cell_length_c 2.848
_cell_angle_alpha 90.00
_cell_angle_beta 90.00
_cell_angle_gamma 90.00
loop_
_atom_site_label
_atom_site_fract_x
_atom_site_fract_y
_atom_site_fract_z
Pt1 0.127 0.627 0.500
Nb1 0.331 0.831 0.000
Nb2 0.169 0.331 0.000
Pt2 0.373 0.127 0.500
Zn1 0.000 0.000 0.000
Pt3 0.873 0.373 0.500
Nb3 0.831 0.669 0.000
Zn2 0.500 0.500 0.000
Nb4 0.669 0.169 0.000
Pt4 0.627 0.873 0.500
```

energy of formation = -273 meV per atom

=====

Below is a relaxed Nd2Dy3YEr6 crystal, with properties calculated at the GGA-PBE level.

CIF file:
```
data_Nd2Dy3YEr6
_space_group_name_H-M_alt 'P 1'
_space_group_IT_number 1
_space_group_name_Hall 'P 1'
_cell_length_a 6.150
_cell_length_b 6.150
_cell_length_c 11.743
_cell_angle_alpha 94.99
_cell_angle_beta 94.99
_cell_angle_gamma 119.96
loop_
_atom_site_label
_atom_site_fract_x
_atom_site_fract_y
_atom_site_fract_z
Er1 0.418 0.085 0.253
Y1 0.000 0.000 0.000
Dy1 0.833 0.167 0.500
Dy2 0.167 0.833 0.500
Er2 0.582 0.915 0.747
Er3 0.085 0.418 0.253
Nd1 0.667 0.333 0.000
Er4 0.915 0.582 0.747
Er5 0.752 0.752 0.253
Nd2 0.333 0.667 0.000
Dy3 0.500 0.500 0.500
Er6 0.248 0.248 0.747
```

energy of formation = 20 meV per atom

=====

Below is a relaxed LiLa2HgPd crystal, with properties calculated at the GGA-PBE level.

CIF file:
```
data_LiLa2HgPd
_space_group_name_H-M_alt 'P 1'
_space_group_IT_number 1
_space_group_name_Hall 'P 1'
_cell_length_a 5.646
_cell_length_b 5.646
_cell_length_c 4.674
_cell_angle_alpha 90.00
_cell_angle_beta 90.00
_cell_angle_gamma 90.00
loop_
_atom_site_label
_atom_site_fract_x
_atom_site_fract_y
_atom_site_fract_z
Li1 0.000 0.000 0.500
Hg1 0.500 0.500 0.500
Pd1 0.000 0.000 0.000
La1 0.000 0.500 0.000
La2 0.500 0.000 0.000
```

energy of formation = -313 meV per atom

=====

Below is a relaxed Al2AgPt3 crystal, with properties calculated at the GGA-PBE level.

CIF file:
```
data_Al2AgPt3
_space_group_name_H-M_alt 'P 1'
_space_group_IT_number 1
_space_group_name_Hall 'P 1'
_cell_length_a 2.917
_cell_length_b 2.917
_cell_length_c 10.809
_cell_angle_alpha 90.00
_cell_angle_beta 90.00
_cell_angle_gamma 90.00
loop_
_atom_site_label
_atom_site_fract_x
_atom_site_fract_y
_atom_site_fract_z
Ag1 0.500 0.500 0.500
Pt1 0.000 0.000 0.695
Pt2 0.000 0.000 0.000
Al1 0.500 0.500 0.837
Al2 0.500 0.500 0.163
Pt3 0.000 0.000 0.305
```

energy of formation = -750 meV per atom

=====

Below is a relaxed KAl2H8 crystal, with properties calculated at the GGA-PBE level.

CIF file:
```
data_KAl2H8
_space_group_name_H-M_alt 'P 1'
_space_group_IT_number 1
_space_group_name_Hall 'P 1'
_cell_length_a 3.630
_cell_length_b 6.115
_cell_length_c 6.115
_cell_angle_alpha 124.99
_cell_angle_beta 91.90
_cell_angle_gamma 91.90
loop_
_atom_site_label
_atom_site_fract_x
_atom_site_fract_y
_atom_site_fract_z
K1 0.500 0.000 0.000
H1 0.999 0.913 0.622
Al1 0.000 0.266 0.734
H2 0.500 0.258 0.742
H3 0.394 0.499 0.499
H4 0.606 0.501 0.501
H5 0.001 0.087 0.378
H6 0.001 0.378 0.087
Al2 0.000 0.734 0.266
H7 0.500 0.742 0.258
H8 0.999 0.622 0.913
```

energy above the lowest structure with this stoichiometry = 0.00 eV per formula unit

=====

Below is a relaxed ThScPb2 crystal, with properties calculated at the GGA-PBE level.

CIF file:
```
data_ThScPb2
_space_group_name_H-M_alt 'P 1'
_space_group_IT_number 1
_space_group_name_Hall 'P 1'
_cell_length_a 4.536
_cell_length_b 4.947
_cell_length_c 4.947
_cell_angle_alpha 90.00
_cell_angle_beta 90.00
_cell_angle_gamma 90.00
loop_
_atom_site_label
_atom_site_fract_x
_atom_site_fract_y
_atom_site_fract_z
Pb1 0.000 0.000 0.500
Th1 0.500 0.000 0.000
Pb2 0.000 0.500 0.000
Sc1 0.500 0.500 0.500
```

energy of formation = -279 meV per atom

=====

Below is a relaxed Te2AsN2 crystal, with properties calculated at the GGA-PBE level.

CIF file:
```
data_Te2AsN2
_space_group_name_H-M_alt 'P 1'
_space_group_IT_number 1
_space_group_name_Hall 'P 1'
_cell_length_a 4.684
_cell_length_b 4.684
_cell_length_c 4.064
_cell_angle_alpha 90.00
_cell_angle_beta 90.00
_cell_angle_gamma 90.00
loop_
_atom_site_label
_atom_site_fract_x
_atom_site_fract_y
_atom_site_fract_z
N1 0.000 0.000 0.500
As1 0.500 0.500 0.500
Te1 0.500 0.000 0.000
N2 0.000 0.000 0.000
Te2 0.000 0.500 0.000
```

energy above the lowest structure with this stoichiometry = 7.54 eV per formula unit
formation energy (no corrections) = 1565 meV/atom

=====

In μB per atom, the magnetization values for the records above are, in order, 0.000, 0.000, 0.000, 0.000, 0.000, 0.000, 0.001, 0.000, 0.000, 0.000, 0.000, 0.324.
In Å³/atom, the V values for the records above are, in order, 36.990, 20.578, 17.675, 13.860, 28.434, 17.912, 31.574, 29.798, 15.329, 10.084, 27.746, 17.835.